[1]
Density functional theory data (GGA-PBE) for YErTl4 after structural relaxation.

## Properties
size of the total moment: 0.01 μB per cell
VASP energy: -3.6760 eV per atom

Unit cell a=4.6634 b=7.6476 c=7.6476 alpha=35.67 beta=90.00 gamma=90.00
Last column: nearest neighbours and their distance in Å.
Fractional coordinates of all 6 atoms:
Tl 0.5000 0.6758 0.6758  6 Tl 3.18-3.46, 4 Er 3.32, 2 Y 3.39
Tl 0.0000 0.5008 0.5008  2 Er 3.24, 2 Y 3.26, 8 Tl 3.30-3.48
Tl 0.5000 0.0009 0.0009  2 Er 3.23, 2 Y 3.26, 8 Tl 3.30-3.49
Er 0.0000 0.1546 0.1546  10 Tl 3.23-3.39
Tl 0.5000 0.3232 0.3232  6 Tl 3.18-3.49, 4 Y 3.32, 2 Er 3.39
Y 0.0000 0.8446 0.8446  10 Tl 3.26-3.39, 2 Er 3.62

***

[2]
Density functional theory data (GGA-PBE) for MgBiAsW after structural relaxation.

## Properties
relative energy among the computed polymorphs: 0.000 eV per atom
size of the total moment: 0.07 μB per cell

Unit cell a=4.7945 b=4.7945 c=4.7945 alpha=60.00 beta=60.00 gamma=60.00
Last column: nearest neighbours and their distance in Å.
Fractional coordinates of all 4 atoms:
Mg 0.7500 0.7500 0.7500  4 Bi 2.94, 4 As 2.94
Bi 0.5000 0.5000 0.5000  4 Mg 2.94, 4 W 2.94
W 0.2500 0.2500 0.2500  4 Bi 2.94, 4 As 2.94
As 0.0000 0.0000 0.0000  4 Mg 2.94, 4 W 2.94

***

[3]
Density functional theory data (GGA-PBE) for ScGaCoMo after structural relaxation.

## Properties
relative energy among the computed polymorphs: 0.000 eV per atom
size of the total moment: 2.74 μB per cell

Unit cell a=4.4206 b=4.4206 c=4.4206 alpha=60.00 beta=60.00 gamma=60.00
Last column: nearest neighbours and their distance in Å.
Fractional coordinates of all 4 atoms:
Ga 0.0000 0.0000 0.0000  4 Mo 2.71, 4 Co 2.71
Co 0.7500 0.7500 0.7500  4 Sc 2.71, 4 Ga 2.71
Sc 0.5000 0.5000 0.5000  4 Co 2.71, 4 Mo 2.71
Mo 0.2500 0.2500 0.2500  4 Ga 2.71, 4 Sc 2.71

***

[4]
Density functional theory data (GGA-PBE) for DyHo2In3AgPt2 after structural relaxation.

## Properties
size of the total moment: 0.01 μB per cell
VASP energy: -4.9259 eV per atom

Unit cell a=3.7461 b=7.8204 c=7.8204 alpha=120.03 beta=90.00 gamma=90.00
Last column: nearest neighbours and their distance in Å.
Fractional coordinates of all 9 atoms:
Ho 0.0000 0.0000 0.4093  4 Pt 3.02, 2 In 3.13, 1 Ag 3.20
Dy 0.0000 0.5907 0.5907  4 Pt 3.02, 2 In 3.14, 1 Ag 3.20
Ho 0.0000 0.4093 0.0000  4 Pt 3.02, 2 In 3.13, 1 Ag 3.20
In 0.5000 0.0002 0.7307  2 Ag 2.82, 2 Pt 2.89, 2 Ho 3.13
Ag 0.0000 0.0001 0.0001  6 In 2.82
In 0.5000 0.2691 0.2691  2 Ag 2.82, 2 Pt 2.89, 2 Dy 3.14
In 0.5000 0.7307 0.0002  2 Ag 2.82, 2 Pt 2.89, 2 Ho 3.13
Pt 0.5000 0.3330 0.6668  3 In 2.89, 4 Ho 3.02, 2 Dy 3.02
Pt 0.5000 0.6668 0.3330  3 In 2.89, 4 Ho 3.02, 2 Dy 3.02

***

[5]
Density functional theory data (GGA-PBE) for MgCuNiS3 after structural relaxation.

## Properties
size of the total moment: 0.07 μB per cell
VASP energy: -4.2779 eV per atom

Unit cell a=6.5348 b=3.7508 c=9.8087 alpha=90.00 beta=99.69 gamma=90.00
Last column: nearest neighbours and their distance in Å.
Fractional coordinates of all 12 atoms:
Mg 0.7816 0.2500 0.7878  3 S 2.45-2.47
S 0.9490 0.7500 0.6855  1 Ni 2.22, 1 Cu 2.38, 2 Mg 2.47
Ni 0.0721 0.7500 0.9103  4 S 2.21-2.26
S 0.7792 0.7500 0.0040  3 Ni 2.21-2.26
S 0.2208 0.2500 0.9960  3 Ni 2.21-2.26
S 0.5690 0.7500 0.3477  3 Cu 2.29-2.31, 1 Mg 2.45
Cu 0.4098 0.2500 0.4146  4 S 2.29-2.38
Mg 0.2184 0.7500 0.2122  3 S 2.45-2.47
Cu 0.5902 0.7500 0.5854  4 S 2.29-2.38
S 0.0510 0.2500 0.3145  1 Ni 2.22, 1 Cu 2.38, 2 Mg 2.47
Ni 0.9279 0.2500 0.0897  4 S 2.21-2.26
S 0.4310 0.2500 0.6523  3 Cu 2.29-2.31, 1 Mg 2.45

***

[6]
Density functional theory data (GGA-PBE) for BaErCuSe2S after structural relaxation.

## Properties
size of the total moment: 0.01 μB per cell
VASP energy: -5.1840 eV per atom

Unit cell a=7.2980 b=7.2980 c=10.3283 alpha=90.00 beta=90.00 gamma=147.33
Last column: nearest neighbours and their distance in Å.
Fractional coordinates of all 12 atoms:
Er 0.5000 0.5000 0.0000  2 S 2.72, 4 Se 2.86
Se 0.1353 0.8647 0.4410  1 Cu 2.48
Se 0.8647 0.1353 0.9410  1 Cu 2.48
S 0.4379 0.5621 0.2500  2 Cu 2.41
Cu 0.9718 0.0282 0.7500  2 S 2.41, 2 Se 2.48
Cu 0.0282 0.9718 0.2500  2 S 2.41, 2 Se 2.48
Se 0.1353 0.8647 0.0590  1 Cu 2.48
Se 0.8647 0.1353 0.5590  1 Cu 2.48
S 0.5621 0.4379 0.7500  2 Cu 2.41
Ba 0.7630 0.2370 0.2500  2 S 3.20, 6 Se 3.36-3.50
Ba 0.2370 0.7630 0.7500  2 S 3.20, 6 Se 3.36-3.50
Er 0.5000 0.5000 0.5000  2 S 2.72, 4 Se 2.86